The following is a PBE calculation of crystalline KSrLaCl6 at its relaxed geometry, from the Alexandria database.

Results
formation energy without anion corrections: -2.331 eV/atom
calculated density: 2437 kg/m3
SG: P-31c (163)

abc: 7.5536 7.5536 13.1905
angles: 90.00 90.00 120.00
Last column: nearest neighbours and their distance in Å.
Sites, in units of the cell vectors:
1 Sr 0.3333 0.6667 0.2500  6 Cl 2.92
2 Cl 0.9888 0.6330 0.3658  1 La 2.81, 1 Sr 2.92
3 Cl 0.3670 0.0112 0.1342  1 La 2.81, 1 Sr 2.92
4 Cl 0.6330 0.6441 0.6342  1 La 2.81, 1 Sr 2.92
5 K 0.0000 0.0000 0.5000  6 Cl 3.25
6 Cl 0.0112 0.3670 0.6342  1 La 2.81, 1 Sr 2.92
7 Cl 0.3559 0.3670 0.8658  1 La 2.81, 1 Sr 2.92
8 Cl 0.6441 0.0112 0.3658  1 La 2.81, 1 Sr 2.92
9 Cl 0.0112 0.6441 0.8658  1 La 2.81, 1 Sr 2.92
10 Cl 0.6441 0.6330 0.1342  1 La 2.81, 1 Sr 2.92
11 Cl 0.6330 0.9888 0.8658  1 La 2.81, 1 Sr 2.92
12 Cl 0.3559 0.9888 0.6342  1 La 2.81, 1 Sr 2.92
13 Sr 0.6667 0.3333 0.7500  6 Cl 2.92
14 La 0.6667 0.3333 0.2500  6 Cl 2.81
15 La 0.3333 0.6667 0.7500  6 Cl 2.81
16 Cl 0.9888 0.3559 0.1342  1 La 2.81, 1 Sr 2.92
17 K 0.0000 0.0000 0.0000  6 Cl 3.25
18 Cl 0.3670 0.3559 0.3658  1 La 2.81, 1 Sr 2.92

The following is a PBE calculation of crystalline MgRh3C at its relaxed geometry, from the Alexandria database.

Results
calculated density: 8029 kg/m3
uncorrected energy: -6.426 eV/atom
SG: Pnma (62)

abc: 5.1029 7.2466 7.7184
angles: 90.00 90.00 90.00
Last column: nearest neighbours and their distance in Å.
Sites, in units of the cell vectors:
1 Rh 0.0112 0.9275 0.8422  1 C 1.99
2 C 0.4606 0.7500 0.4644  4 Rh 1.99-2.11
3 Rh 0.5112 0.5725 0.6578  1 C 1.99
4 Rh 0.7488 0.7500 0.2705  2 C 2.10-2.11
5 C 0.0394 0.2500 0.9644  4 Rh 1.99-2.11
6 Rh 0.2488 0.7500 0.2295  2 C 2.10-2.11
7 Rh 0.4888 0.0725 0.3422  1 C 1.99
8 Rh 0.5112 0.9275 0.6578  1 C 1.99
9 Rh 0.2512 0.2500 0.7295  2 C 2.10-2.11
10 C 0.5394 0.2500 0.5356  4 Rh 1.99-2.11
11 Mg 0.0000 0.5000 0.5000  8 Rh 2.69-2.93, 2 C 2.98
12 Mg 0.5000 0.0000 0.0000  8 Rh 2.69-2.93, 2 C 2.98
13 Rh 0.9888 0.0725 0.1578  1 C 1.99
14 Rh 0.7512 0.2500 0.7705  2 C 2.10-2.11
15 Mg 0.0000 0.0000 0.5000  8 Rh 2.69-2.93, 2 C 2.98
16 Rh 0.9888 0.4275 0.1578  1 C 1.99
17 Rh 0.4888 0.4275 0.3422  1 C 1.99
18 C 0.9606 0.7500 0.0356  4 Rh 1.99-2.11
19 Mg 0.5000 0.5000 0.0000  8 Rh 2.69-2.93, 2 C 2.98
20 Rh 0.0112 0.5725 0.8422  1 C 1.99

The following is a PBE calculation of crystalline HoErThCd at its relaxed geometry, from the Alexandria database.

Results
calculated density: 9778 kg/m3
uncorrected energy: -4.258 eV/atom
SG: F-43m (216)

abc: 5.4571 5.4571 5.4571
angles: 60.00 60.00 60.00
Last column: nearest neighbours and their distance in Å.
Sites, in units of the cell vectors:
1 Cd 0.7500 0.7500 0.7500  4 Er 3.34, 4 Ho 3.34
2 Ho 0.0000 0.0000 0.0000  4 Cd 3.34, 4 Th 3.34
3 Th 0.2500 0.2500 0.2500  4 Ho 3.34, 4 Er 3.34
4 Er 0.5000 0.5000 0.5000  4 Th 3.34, 4 Cd 3.34

The following is a PBE calculation of crystalline Pm4Nd2HoSc at its relaxed geometry, from the Alexandria database.

Results
calculated density: 6822 kg/m3
uncorrected energy: -4.901 eV/atom
SG: P2/m (10)

abc: 5.1030 5.0828 11.3303
angles: 63.28 90.00 90.00
Last column: nearest neighbours and their distance in Å.
Sites, in units of the cell vectors:
1 Nd 0.5000 0.0000 0.5000  8 Pm 3.56, 4 Sc 3.60
2 Ho 0.5000 0.5000 0.0000  4 Nd 3.60, 8 Pm 3.61-3.63
3 Pm 0.5000 0.2540 0.7461  4 Nd 3.56-3.62, 2 Sc 3.57, 4 Pm 3.60, 2 Ho 3.61-3.62
4 Nd 0.0000 0.0000 0.0000  4 Ho 3.60, 8 Pm 3.62
5 Pm 0.5000 0.7460 0.2539  4 Nd 3.56-3.62, 2 Sc 3.57, 4 Pm 3.60, 2 Ho 3.61-3.62
6 Pm 0.0000 0.7552 0.7451  2 Sc 3.55, 4 Nd 3.56-3.62, 4 Pm 3.60, 2 Ho 3.63
7 Pm 0.0000 0.2448 0.2549  2 Sc 3.55-3.56, 4 Nd 3.56-3.62, 4 Pm 3.60, 2 Ho 3.63
8 Sc 0.0000 0.5000 0.5000  8 Pm 3.55-3.57, 4 Nd 3.60

The following is a PBE calculation of crystalline Sb2TeSe2 at its relaxed geometry, from the Alexandria database.

Results
formation energy without anion corrections: 0.154 eV/atom
calculated density: 6142 kg/m3
SG: I4/mmm (139)

abc: 5.4678 5.4678 6.1512
angles: 63.61 63.61 90.00
Last column: nearest neighbours and their distance in Å.
Sites, in units of the cell vectors:
1 Se 0.3478 0.3478 0.3044  4 Sb 2.89, 1 Se 2.91
2 Sb 0.2500 0.7500 0.5000  4 Se 2.89
3 Se 0.6522 0.6522 0.6956  4 Sb 2.89, 1 Se 2.91
4 Te 0.0000 0.0000 0.0000  2 Se 3.33, 8 Sb 3.63
5 Sb 0.7500 0.2500 0.5000  4 Se 2.89

The following is a PBE calculation of crystalline TcPbW2 at its relaxed geometry, from the Alexandria database.

Results
calculated density: 15922 kg/m3
uncorrected energy: -9.121 eV/atom
SG: C2/m (12)

abc: 5.4808 5.3402 2.9025
angles: 82.72 73.58 115.87
Last column: nearest neighbours and their distance in Å.
Sites, in units of the cell vectors:
1 W 0.0000 0.0000 0.0000  4 W 2.71-2.90, 2 Tc 2.87, 2 Pb 2.87
2 Pb 0.0000 0.5000 0.5000  2 Tc 2.71, 4 W 2.87, 2 Pb 2.90
3 Tc 0.5000 0.5000 0.0000  2 Pb 2.71, 4 W 2.87, 2 Tc 2.90
4 W 0.5000 0.0000 0.5000  4 W 2.71-2.90, 2 Pb 2.87, 2 Tc 2.87

The following is a PBE calculation of crystalline HfCd2TcHg at its relaxed geometry, from the Alexandria database.

Results
calculated density: 7235 kg/m3
uncorrected energy: -2.880 eV/atom
SG: P4/mmm (123)

abc: 5.4785 5.3674 5.4785
angles: 90.00 90.00 90.00
Last column: nearest neighbours and their distance in Å.
Sites, in units of the cell vectors:
1 Hf 0.0000 0.0000 0.0000  2 Hg 2.68, 4 Cd 2.74
2 Hg 0.0000 0.5000 0.0000  2 Hf 2.68
3 Tc 0.5000 0.5000 0.5000  8 Cd 3.83, 4 Hg 3.87
4 Cd 0.5000 0.0000 0.0000  2 Hf 2.74
5 Cd 0.0000 0.0000 0.5000  2 Hf 2.74

The following is a PBE calculation of crystalline Mg5CdSn at its relaxed geometry, from the Alexandria database.

Results
calculated density: 3431 kg/m3
uncorrected energy: -1.830 eV/atom
SG: C2/c (15)

abc: 7.3008 7.3008 9.4504
angles: 58.50 58.50 89.46
Last column: nearest neighbours and their distance in Å.
Sites, in units of the cell vectors:
1 Cd 0.4374 0.5626 0.7500  5 Mg 2.76-2.99
2 Mg 0.6704 0.8965 0.9216  1 Cd 2.85, 4 Mg 3.01-3.13, 2 Sn 3.02-3.06
3 Mg 0.1685 0.8315 0.7500  1 Cd 2.76, 2 Sn 2.93
4 Sn 0.0000 0.0000 0.0000  8 Mg 2.93-3.23
5 Cd 0.5626 0.4374 0.2500  5 Mg 2.76-2.99
6 Mg 0.3296 0.1035 0.0784  1 Cd 2.85, 4 Mg 3.01-3.13, 2 Sn 3.02-3.06
7 Mg 0.8315 0.1685 0.2500  1 Cd 2.76, 2 Sn 2.93
8 Mg 0.8965 0.6704 0.4216  1 Cd 2.85, 4 Mg 3.01-3.13, 2 Sn 3.02-3.06
9 Mg 0.7809 0.4535 0.8718  2 Cd 2.99-3.20, 5 Mg 3.07-3.29, 1 Sn 3.23
10 Sn 0.0000 0.0000 0.5000  8 Mg 2.93-3.23
11 Mg 0.5465 0.2191 0.6282  2 Cd 2.99-3.20, 5 Mg 3.07-3.29, 1 Sn 3.23
12 Mg 0.1035 0.3296 0.5784  1 Cd 2.85, 4 Mg 3.01-3.13, 2 Sn 3.02-3.06
13 Mg 0.2191 0.5465 0.1282  2 Cd 2.99-3.20, 5 Mg 3.07-3.29, 1 Sn 3.23
14 Mg 0.4535 0.7809 0.3718  2 Cd 2.99-3.20, 5 Mg 3.07-3.29, 1 Sn 3.23

The following is a PBE calculation of crystalline La3Nd2Tl3 at its relaxed geometry, from the Alexandria database.

Results
calculated density: 8131 kg/m3
uncorrected energy: -4.234 eV/atom
SG: P6_3/mcm (193)

abc: 6.9556 9.4547 9.4547
angles: 120.00 90.00 90.00
Last column: nearest neighbours and their distance in Å.
Sites, in units of the cell vectors:
1 Tl 0.7500 0.4028 0.4028  3 La 3.32-3.38, 4 Nd 3.36
2 Tl 0.2500 0.4028 0.0000  3 La 3.32-3.38, 4 Nd 3.36
3 Nd 0.5000 0.3333 0.6667  6 Tl 3.36, 2 Nd 3.48
4 Nd 0.0000 0.3333 0.6667  6 Tl 3.36, 2 Nd 3.48
5 Tl 0.2500 0.0000 0.4028  3 La 3.32-3.38, 4 Nd 3.36
6 La 0.2500 0.2393 0.2393  3 Tl 3.32-3.38
7 La 0.2500 0.7607 0.0000  3 Tl 3.32-3.38
8 Tl 0.7500 0.5972 0.0000  3 La 3.32-3.38, 4 Nd 3.36
9 Tl 0.7500 0.0000 0.5972  3 La 3.32-3.38, 4 Nd 3.36
10 La 0.7500 0.2393 0.0000  3 Tl 3.32-3.38
11 Nd 0.5000 0.6667 0.3333  6 Tl 3.36, 2 Nd 3.48
12 Tl 0.2500 0.5972 0.5972  3 La 3.32-3.38, 4 Nd 3.36
13 La 0.7500 0.7607 0.7607  3 Tl 3.32-3.38
14 La 0.2500 0.0000 0.7607  3 Tl 3.32-3.38
15 La 0.7500 0.0000 0.2393  3 Tl 3.32-3.38
16 Nd 0.0000 0.6667 0.3333  6 Tl 3.36, 2 Nd 3.48

The following is a PBE calculation of crystalline La8SmTh4 at its relaxed geometry, from the Alexandria database.

Results
calculated density: 7113 kg/m3
uncorrected energy: -5.175 eV/atom
SG: R-3m (166)

abc: 7.9959 7.9959 7.9959
angles: 90.12 90.12 90.12
Last column: nearest neighbours and their distance in Å.
Sites, in units of the cell vectors:
1 Th 0.5000 0.0000 0.5000  8 La 3.52-3.53
2 La 0.7628 0.7628 0.2387  4 Th 3.29-3.52, 1 Sm 3.64
3 Th 0.0000 0.5000 0.5000  8 La 3.52-3.53
4 La 0.7613 0.2372 0.2372  4 Th 3.29-3.52, 1 Sm 3.64
5 La 0.2387 0.7628 0.7628  4 Th 3.29-3.52, 1 Sm 3.64
6 La 0.2372 0.7613 0.2372  4 Th 3.29-3.52, 1 Sm 3.64
7 La 0.2372 0.2372 0.7613  4 Th 3.29-3.52, 1 Sm 3.64
8 La 0.2374 0.2374 0.2374  4 Th 3.28-3.53, 1 Sm 3.63
9 Th 0.0000 0.0000 0.0000  8 La 3.28-3.29
10 Th 0.5000 0.5000 0.0000  8 La 3.52-3.53
11 La 0.7626 0.7626 0.7626  4 Th 3.28-3.53, 1 Sm 3.63
12 La 0.7628 0.2387 0.7628  4 Th 3.29-3.52, 1 Sm 3.64
13 Sm 0.5000 0.5000 0.5000  8 La 3.63-3.64, 6 Th 4.00

The following is a PBE calculation of crystalline LiCu2Au4 at its relaxed geometry, from the Alexandria database.

Results
calculated density: 13008 kg/m3
uncorrected energy: -3.466 eV/atom
SG: I4/mmm (139)

abc: 5.3740 5.3740 5.3740
angles: 117.51 105.61 105.61
Last column: nearest neighbours and their distance in Å.
Sites, in units of the cell vectors:
1 Au 0.0000 0.5000 0.0000  4 Cu 2.69, 2 Li 2.69, 2 Au 2.79
2 Cu 0.5000 0.5000 0.0000  8 Au 2.69, 2 Cu 2.79
3 Li 0.0000 0.0000 0.0000  8 Au 2.69
4 Au 0.5000 0.0000 0.0000  4 Cu 2.69, 2 Li 2.69, 2 Au 2.79
5 Au 0.5000 0.5000 0.5000  4 Cu 2.69, 2 Li 2.69, 2 Au 2.79
6 Cu 0.5000 0.0000 0.5000  8 Au 2.69, 2 Cu 2.79
7 Au 0.0000 0.0000 0.5000  2 Li 2.69, 4 Cu 2.69, 2 Au 2.79

The following is a PBE calculation of crystalline CeZnCuSi2 at its relaxed geometry, from the Alexandria database.

Results
formation energy without anion corrections: -0.480 eV/atom
calculated density: 6318 kg/m3
SG: I-4m2 (119)

abc: 4.0837 4.0837 5.8834
angles: 110.31 110.31 90.00
Last column: nearest neighbours and their distance in Å.
Sites, in units of the cell vectors:
1 Ce 0.0000 0.0000 0.0000  8 Si 3.12, 4 Cu 3.28, 4 Zn 3.28
2 Cu 0.2500 0.7500 0.5000  4 Si 2.46
3 Si 0.6154 0.6154 0.2308  1 Si 2.37, 2 Cu 2.46, 2 Zn 2.46
4 Si 0.3846 0.3846 0.7692  1 Si 2.37, 2 Cu 2.46, 2 Zn 2.46
5 Zn 0.7500 0.2500 0.5000  4 Si 2.46

Repeat the seventh record exactly.
The following is a PBE calculation of crystalline HfCd2TcHg at its relaxed geometry, from the Alexandria database.

Results
calculated density: 7235 kg/m3
uncorrected energy: -2.880 eV/atom
SG: P4/mmm (123)

abc: 5.4785 5.3674 5.4785
angles: 90.00 90.00 90.00
Last column: nearest neighbours and their distance in Å.
Sites, in units of the cell vectors:
1 Hf 0.0000 0.0000 0.0000  2 Hg 2.68, 4 Cd 2.74
2 Hg 0.0000 0.5000 0.0000  2 Hf 2.68
3 Tc 0.5000 0.5000 0.5000  8 Cd 3.83, 4 Hg 3.87
4 Cd 0.5000 0.0000 0.0000  2 Hf 2.74
5 Cd 0.0000 0.0000 0.5000  2 Hf 2.74

The lowest calculated density belongs to which entry?
KSrLaCl6